{
  "formula": "RbAlVBr6",
  "functional": "PBE",
  "state": "optimized geometry",
  "dft_energy_ev_per_atom": -3.794,
  "space_group": "P-31c, No. 163",
  "e_form_raw_mev_per_atom": -1142.6,
  "lattice_angstrom": [[6.7373, 0.0000, 0.0000], [-3.3686, 5.8347, 0.0000], [0.0000, 0.0000, 15.6330]],
  "species": ["Rb", "Rb", "Al", "Al", "V", "V", "Br", "Br", "Br", "Br", "Br", "Br", "Br", "Br", "Br", "Br", "Br", "Br"],
  "frac_coords": [[0.0000, 0.0000, 0.0000], [0.0000, 0.0000, 0.5000], [0.3333, 0.6667, 0.2500], [0.6667, 0.3333, 0.7500], [0.3333, 0.6667, 0.7500], [0.6667, 0.3333, 0.2500], [0.0101, 0.3736, 0.1569], [0.0101, 0.6365, 0.3431], [0.3635, 0.3736, 0.3431], [0.3635, 0.9899, 0.1569], [0.3736, 0.0101, 0.6569], [0.3736, 0.3635, 0.8431], [0.6264, 0.6365, 0.1569], [0.6264, 0.9899, 0.3431], [0.6365, 0.0101, 0.8431], [0.6365, 0.6264, 0.6569], [0.9899, 0.3635, 0.6569], [0.9899, 0.6264, 0.8431]]
}